Material: SrAu3I
Method: DFT, PBE-GGA
State: relaxed

a b c (Å): 5.4690 5.4690 5.4690
angles (deg): 90.00 90.00 90.00
Closest atoms and distances in Å follow each position.
Space group Pm-3m (No. 221)
One atom of each set of equivalent atoms:
Sr 0.0000 0.0000 0.0000 x1  12 Au 3.87
Au 0.0000 0.5000 0.5000 x3  2 I 2.73
I 0.5000 0.5000 0.5000 x1  6 Au 2.73

Results
calculated volume	163.6	Å³/cell
ΔE_f (raw)	242	meV per atom
distance to the lowest polymorph of the same formula	0	meV/atom


Material: Sr3AuI
Method: DFT, PBE-GGA
State: relaxed

a b c (Å): 6.1210 6.1210 6.1210
angles (deg): 90.00 90.00 90.00
Closest atoms and distances in Å follow each position.
Space group Pm-3m (No. 221)
One atom of each set of equivalent atoms:
Sr 0.0000 0.0000 0.5000 x3  2 Au 3.06
Au 0.0000 0.0000 0.0000 x1  6 Sr 3.06
I 0.5000 0.5000 0.5000 x1  12 Sr 4.33

Results
calculated volume	229.3	Å³/cell
ΔE_f (raw)	-623	meV per atom
distance to the lowest polymorph of the same formula	0	meV/atom


Material: Sr2Au2I
Method: DFT, PBE-GGA
State: relaxed

a b c (Å): 8.7519 8.7519 4.0404
angles (deg): 90.00 90.00 90.00
Closest atoms and distances in Å follow each position.
Space group P4/mbm (No. 127)
One atom of each set of equivalent atoms:
Sr 0.1766 0.3234 0.0000 x4  6 Au 3.27-3.30
Au 0.1153 0.6153 0.5000 x4  1 Au 2.85
I 0.0000 0.0000 0.5000 x2  4 Au 3.52, 8 Sr 3.81

Results
calculated volume	309.5	Å³/cell
ΔE_f (raw)	-888	meV per atom
distance to the lowest polymorph of the same formula	6	meV/atom


Material: SrTeAuI2
Method: DFT, PBE-GGA
State: relaxed

a b c (Å): 5.6088 5.6088 5.7579
angles (deg): 90.00 90.00 90.00
Closest atoms and distances in Å follow each position.
Space group P4/mmm (No. 123)
One atom of each set of equivalent atoms:
Sr 0.0000 0.0000 0.0000 x1  4 Te 3.97, 8 I 4.02
Te 0.5000 0.5000 0.0000 x1  2 Au 2.88
Au 0.5000 0.5000 0.5000 x1  4 I 2.80, 2 Te 2.88
I 0.0000 0.5000 0.5000 x2  2 Au 2.80

Results
calculated volume	181.1	Å³/cell
ΔE_f (raw)	-564	meV per atom
distance to the lowest polymorph of the same formula	0	meV/atom


Material: SrTeAuI2
Method: DFT, PBE-GGA
State: relaxed

a b c (Å): 6.2799 6.2799 6.6299
angles (deg): 90.00 90.00 90.00
Closest atoms and distances in Å follow each position.
Space group P4/mmm (No. 123)
One atom of each set of equivalent atoms:
Sr 0.0000 0.0000 0.0000 x1  4 I 3.14, 2 Te 3.31
Te 0.0000 0.0000 0.5000 x1  2 Sr 3.31
Au 0.5000 0.5000 0.5000 x1  4 Te 4.44, 8 I 4.57
I 0.0000 0.5000 0.0000 x2  2 Sr 3.14

Results
calculated volume	261.5	Å³/cell
ΔE_f (raw)	-25	meV per atom
distance to the lowest polymorph of the same formula	540	meV/atom


Material: TaAu3I
Method: DFT, PBE-GGA
State: relaxed

a b c (Å): 5.2085 5.2085 5.2085
angles (deg): 90.00 90.00 90.00
Closest atoms and distances in Å follow each position.
Space group Pm-3m (No. 221)
One atom of each set of equivalent atoms:
Ta 0.0000 0.0000 0.0000 x1  6 Au 2.60
Au 0.0000 0.0000 0.5000 x3  2 Ta 2.60
I 0.5000 0.5000 0.5000 x1  12 Au 3.68

Results
calculated volume	141.3	Å³/cell
ΔE_f (raw)	907	meV per atom
distance to the lowest polymorph of the same formula	0	meV/atom


Material: TaAuI2
Method: DFT, PBE-GGA
State: relaxed

a b c (Å): 10.0845 10.0845 5.3319
angles (deg): 90.00 90.00 90.00
Closest atoms and distances in Å follow each position.
Space group I-42d (No. 122)
One atom of each set of equivalent atoms:
Ta 0.0000 0.0000 0.0000 x4  2 Au 2.67, 4 I 2.81
Au 0.0000 0.0000 0.5000 x4  2 Ta 2.67
I 0.1028 0.2500 0.1250 x8  2 Ta 2.81

Results
calculated volume	542.2	Å³/cell
ΔE_f (raw)	326	meV per atom
distance to the lowest polymorph of the same formula	0	meV/atom


Material: TaAuI2
Method: DFT, PBE-GGA
State: relaxed

a b c (Å): 7.1510 7.1510 7.1510
angles (deg): 90.00 90.00 90.00
Closest atoms and distances in Å follow each position.
Space group Fm-3m (No. 225)
One atom of each set of equivalent atoms:
Ta 0.0000 0.0000 0.0000 x4  8 I 3.10
Au 0.0000 0.0000 0.5000 x4  8 I 3.10
I 0.2500 0.2500 0.2500 x8  4 Ta 3.10, 4 Au 3.10

Results
calculated volume	365.7	Å³/cell
ΔE_f (raw)	797	meV per atom
distance to the lowest polymorph of the same formula	471	meV/atom